# 1
## MnCl (GGA-PBEsol)

Data for crystalline MnCl at its relaxed geometry.

The uncorrected formation energy comes out at 0.060 eV/atom. As for the theoretical density: 4.4 g cm⁻³.

It has space group Cmmm (No. 65), with a = 3.1113 Å, b = 5.6709 Å, c = 3.8954 Å, α = 90.00°, β = 90.00° and γ = 90.00°. Symmetry generates all atoms from Mn at (0.0000, 0.0000, 0.0000) and Cl at (0.0000, 0.5000, 0.5000).

# 2
## MnMoP2Cl (GGA-PBEsol)

Data for crystalline MnMoP2Cl at its relaxed geometry.

The uncorrected formation energy comes out at 1.402 eV/atom. As for the theoretical density: 5.2 g cm⁻³.

It has space group P4/mmm (No. 123), with a = 4.4705 Å, b = 4.4705 Å, c = 3.9606 Å, α = 90.00°, β = 90.00° and γ = 90.00°. Symmetry generates all atoms from Mn at (0.0000, 0.0000, 0.0000), Mo at (0.5000, 0.5000, 0.0000), P at (0.0000, 0.5000, 0.5000) and Cl at (0.0000, 0.0000, 0.5000).

# 3
## MnN2Cl (GGA-PBEsol)

Data for crystalline MnN2Cl at its relaxed geometry.

The uncorrected formation energy comes out at 1.659 eV/atom. As for the theoretical density: 4.1 g cm⁻³.

It has space group R-3m (No. 166, hexagonal axes), with a = 2.9584 Å, b = 2.9584 Å, c = 18.8854 Å, α = 90.00°, β = 90.00° and γ = 120.00°. Symmetry generates all atoms from Mn at (0.0000, 0.0000, 0.0000), N at (0.0000, 0.0000, 0.0894) and Cl at (0.0000, 0.0000, 0.5000).

Repeat the second record exactly.
## MnMoP2Cl (GGA-PBEsol)

Data for crystalline MnMoP2Cl at its relaxed geometry.

The uncorrected formation energy comes out at 1.402 eV/atom. As for the theoretical density: 5.2 g cm⁻³.

It has space group P4/mmm (No. 123), with a = 4.4705 Å, b = 4.4705 Å, c = 3.9606 Å, α = 90.00°, β = 90.00° and γ = 90.00°. Symmetry generates all atoms from Mn at (0.0000, 0.0000, 0.0000), Mo at (0.5000, 0.5000, 0.0000), P at (0.0000, 0.5000, 0.5000) and Cl at (0.0000, 0.0000, 0.5000).

Question: What is the formula in the third record?
Answer: MnN2Cl